Compound: Hg4Sb
Source: the Alexandria database
Functional: PBE-GGA
Structure: relaxed

Its uncorrected formation energy is 95 meV/atom. The crystal system is cubic.

It has space group Pm-3m (No. 221), with a = 5.933 Å, b = 5.933 Å, c = 5.933 Å, α = 90.00°, β = 90.00° and γ = 90.00°. The distinct sites, in fractional coordinates, are Hg at (0.000, 0.000, 0.000), Hg at (0.000, 0.500, 0.500) and Sb at (0.500, 0.500, 0.500).